# Pr2SiGe

A geometry-optimized Pr2SiGe structure (GGA-PBE, the Open Quantum Materials Database).

Electronic total energy: -5.69 eV per atom
Density: 6287 kg/m³
Total moment: 0.00 μB/f.u.

Lattice parameters (Å, degrees): 6.0055 4.0266 8.3565 90.00 90.04 90.00
With the nearest neighbours (Å) after each atom.
Space group P2_1/m (No. 11)
One atom of each set of equivalent atoms:
Pr  0.1158  0.2500  0.1766 [2 per cell]  4 Si 3.11-3.25, 3 Ge 3.12-3.38
Pr  0.3828  0.2500  0.6840 [2 per cell]  3 Si 3.10-3.26, 4 Ge 3.12-3.34
Si  0.3797  0.7500  0.9655 [2 per cell]  2 Si 2.54
Ge  0.1354  0.7500  0.4611 [2 per cell]  2 Ge 2.67